Record 1
Density functional theory data (PBE) for a relaxed Zn3SI crystal.

Structure (extended XYZ):
```
5
Lattice="5.021 0.000 0.000 0.000 5.021 0.000 0.000 0.000 5.021" Properties=species:S:1:pos:R:3 pbc="T T T"
S 0.000 0.000 0.000
I 2.510 2.510 2.510
Zn 0.000 2.510 0.000
Zn 2.510 0.000 0.000
Zn 0.000 0.000 2.510
```

## Properties
Its density of states at the Fermi level is 2.07 states/eV/f.u. The space group is Pm-3m (221). The value obtained for the energy relative to the lowest polymorph listed for this composition is 0 meV per atom.

Record 2
Density functional theory data (PBE) for a relaxed ZnS3I crystal.

Structure (extended XYZ):
```
5
Lattice="-2.984 3.337 -1.511 1.369 -0.791 -4.452 -3.397 -3.250 -0.467" Properties=species:S:1:pos:R:3 pbc="T T T"
S 0.684 -0.396 -2.226
S -1.492 1.668 -0.755
S -1.699 -1.625 -0.234
I -2.506 -0.352 -3.215
Zn 0.000 0.000 0.000
```

## Properties
Its density of states at the Fermi level is 4.78 states/eV/f.u. The space group is Pm-3m (221). The value obtained for the energy relative to the lowest polymorph listed for this composition is 753 meV per atom.

Record 3
Density functional theory data (PBE) for a relaxed Zn2SI crystal.

Structure (extended XYZ):
```
4
Lattice="3.826 -2.597 -1.685 2.400 -3.075 3.001 -0.410 -4.865 -0.621" Properties=species:S:1:pos:R:3 pbc="T T T"
Zn 1.454 -2.634 0.174
Zn 4.362 -7.902 0.521
S 0.000 0.000 0.000
I 2.908 -5.268 0.347
```

## Properties
Its density of states at the Fermi level is 2.24 states/eV/f.u. The space group is Fm-3m (225).

Record 4
Density functional theory data (PBE) for a relaxed Zn3SI crystal.

Structure (extended XYZ):
```
5
Lattice="5.387 0.000 0.000 0.000 5.387 0.000 0.000 0.000 5.387" Properties=species:S:1:pos:R:3 pbc="T T T"
Zn 2.694 0.000 0.000
Zn 0.000 0.000 2.694
Zn 0.000 2.694 0.000
S 2.694 2.694 2.694
I 0.000 0.000 0.000
```

## Properties
Its density of states at the Fermi level is 3.68 states/eV/f.u. The space group is Pm-3m (221). The value obtained for the energy relative to the lowest polymorph listed for this composition is 737 meV per atom.

Record 5
Density functional theory data (PBE) for a relaxed ZnS2I crystal.

Structure (extended XYZ):
```
4
Lattice="0.000 3.432 3.432 3.432 0.000 3.432 3.432 3.432 0.000" Properties=species:S:1:pos:R:3 pbc="T T T"
S 5.149 5.149 5.149
S 1.716 1.716 1.716
I 3.432 3.432 3.432
Zn 0.000 0.000 0.000
```

## Properties
Its density of states at the Fermi level is 3.11 states/eV/f.u. The space group is Fm-3m (225). The value obtained for the energy relative to the lowest polymorph listed for this composition is 796 meV per atom.

Record 6
Density functional theory data (PBE) for a relaxed ZnS2I crystal.

Structure (extended XYZ):
```
8
Lattice="-3.599 5.281 -1.684 -3.352 -3.673 -4.353 -6.643 -0.284 0.338" Properties=species:S:1:pos:R:3 pbc="T T T"
Zn -3.476 0.804 -3.018
Zn -6.735 -1.576 -3.516
S -4.069 2.390 -1.391
S -10.822 1.459 -4.714
S -4.465 -1.325 -2.968
S -7.831 0.125 -2.324
I 0.000 0.000 0.000
I -6.859 2.901 -2.182
```

## Properties
Its density of states at the Fermi level is 4.93 states/eV/f.u. The space group is I-42d (122). The value obtained for the energy relative to the lowest polymorph listed for this composition is 265 meV per atom.

Short version: uncorrected formation energy = 0.118, 0.612, 0.292, 0.855, 0.718, 0.188 eV/atom, in the order given.